Record 1
TaSiW at its PBEsol-relaxed geometry. Source: Alexandria via LeMat-Bulk, functional SCAN.

- Density of states at the Fermi level: 4.16 states/eV/cell
- Volume: 55 Å³/cell
- Total moment: 0.000 μB/f.u.
- Formation energy (no corrections): 1.9 eV/f.u.

The structure in POSCAR format:
```
TaSiW
1.0
-2.3918 -0.5906 3.4911
0.1586 -3.7212 2.0940
1.8492 -0.2100 3.8463
Si W Ta
1 1 1
direct
0.0000 0.0000 0.0000 Si
0.7500 0.7500 0.7500 W
0.5000 0.5000 0.5000 Ta
```

***

Record 2
LiLaFe2 at its PBEsol-relaxed geometry. Source: Alexandria via LeMat-Bulk, functional SCAN.

- Formation energy: 0.277 eV per atom
- E above lowest polymorph: 0.000 eV/atom
- Density of states at the Fermi level: 3.12 states/eV/cell
- Volume: 72 Å³/cell
- Total moment: 5.040 μB/f.u.

The structure in POSCAR format:
```
LiLaFe2
1.0
3.0718 0.0785 0.0000
-0.0775 3.0719 0.0000
0.0000 0.0000 7.5743
La Fe Li
1 2 1
direct
0.0000 0.0000 0.5444 La
0.0000 0.0000 0.9565 Fe
0.5000 0.5000 0.8248 Fe
0.5000 0.5000 0.1743 Li
```

***

Record 3
ScRe2Ni at its PBEsol-relaxed geometry. Source: Alexandria via LeMat-Bulk, functional SCAN.

- Formation energy: 0.502 eV per atom
- E above lowest polymorph: 0.538 eV/atom
- Density of states at the Fermi level: 4.64 states/eV/cell
- Volume: 57 Å³/cell
- Total moment: 1.494 μB/f.u.

The structure in POSCAR format:
```
ScRe2Ni
1.0
4.3278 0.0000 0.0000
2.1639 3.7480 0.0000
2.1639 1.2493 3.5336
Re Sc Ni
2 1 1
direct
0.2500 0.2500 0.2500 Re
0.7500 0.7500 0.7500 Re
0.5000 0.5000 0.5000 Sc
0.0000 0.0000 0.0000 Ni
```

***

Record 4
LiHgPb2 at its PBEsol-relaxed geometry. Source: Alexandria via LeMat-Bulk, functional SCAN.

- Formation energy: -0.165 eV per atom
- Density of states at the Fermi level: 1.54 states/eV/cell
- Volume: 98 Å³/cell
- Total moment: 0.000 μB/f.u.

The structure in POSCAR format:
```
LiHgPb2
1.0
-3.6173 -0.4006 0.9006
0.7269 -5.0663 0.6663
2.5684 3.5348 4.0843
Pb Hg Li
2 1 1
direct
0.7588 0.2588 0.5175 Pb
0.9829 0.9829 0.9658 Pb
0.5265 0.5265 0.0530 Hg
0.2319 0.7319 0.4637 Li
```